Material: LaPm2Dy7
Method: DFT, PBE-GGA
State: relaxed

Summary:
E above lowest polymorph   0.0 meV per atom
Total DFT energy (no corrections)   -46.44 eV per formula unit
Energy of formation   0.48 kcal/mol of atoms
Size of the total moment   0.00 μB/atom

Lattice parameters (Å, degrees): 5.0716 8.7710 9.4952 107.99 74.51 125.17
Fractional positions:
1 Pm 0.5992 0.4006 0.6032
2 Pm 0.4008 0.5994 0.3968
3 Dy 0.7009 0.3014 0.2013
4 Dy 0.5000 0.5000 0.0000
5 Dy 0.2991 0.6986 0.7987
6 Dy 0.8011 0.2000 0.7976
7 Dy 0.1989 0.8000 0.2024
8 Dy 0.8999 0.1005 0.4009
9 Dy 0.1001 0.8995 0.5991
10 La 0.0000 0.0000 0.0000